Record 1
ZrGa2Br2Cl4 | GGA-PBE | relaxed

abc: 12.7555 7.1504 7.0920
angles: 90.00 109.09 90.00
Space group C2/m (No. 12)
Unique sites:
1 Zr 0.0000 0.0000 0.0000 (multiplicity 2)
2 Ga 0.2484 0.5000 0.2117 (multiplicity 4)
3 Br 0.1785 0.0000 0.3238 (multiplicity 4)
4 Cl 0.0896 0.2419 0.8497 (multiplicity 8)

energy = -4.0304 eV/atom

Record 2
GeBrCl2 | GGA-PBE | relaxed

abc: 7.8140 7.8140 11.1871
angles: 90.00 90.00 90.00
Space group I-42d (No. 122)
Unique sites:
1 Ge 0.0000 0.0000 0.0000 (multiplicity 4)
2 Br 0.0000 0.0000 0.5000 (multiplicity 4)
3 Cl 0.0560 0.2500 0.1250 (multiplicity 8)

energy = -2.7166 eV/atom

Record 3
Ge3BrCl | GGA-PBE | relaxed

abc: 5.3084 5.3084 5.3084
angles: 90.00 90.00 90.00
Space group Pm-3m (No. 221)
Unique sites:
1 Ge 0.0000 0.0000 0.5000 (multiplicity 3)
2 Br 0.0000 0.0000 0.0000 (multiplicity 1)
3 Cl 0.5000 0.5000 0.5000 (multiplicity 1)

energy = -2.5957 eV/atom

Record 4
GeBrCl2 | GGA-PBE | relaxed

abc: 6.4981 9.2882 7.3476
angles: 90.00 90.00 90.00
Space group Imm2 (No. 44)
Unique sites:
1 Ge 0.0000 0.0000 0.0000 (multiplicity 2)
2 Br 0.0000 0.0000 0.6689 (multiplicity 2)
3 Cl 0.0000 0.2004 0.1675 (multiplicity 4)

energy = -2.8968 eV/atom

Record 5
Ge2Br3Cl | GGA-PBE | relaxed

abc: 18.6997 4.0254 14.0928
angles: 90.00 129.80 90.00
Space group C2/m (No. 12)
Unique sites:
1 Ge 0.1144 0.0000 0.3743 (multiplicity 4)
2 Ge 0.1187 0.5000 0.8798 (multiplicity 4)
3 Br 0.0476 0.0000 0.6806 (multiplicity 4)
4 Br 0.1763 0.0000 0.0470 (multiplicity 4)
5 Br 0.1774 0.5000 0.5426 (multiplicity 4)
6 Cl 0.0378 0.5000 0.1853 (multiplicity 4)

energy = -3.2946 eV/atom

Record 6
GeBrCl2 | GGA-PBE | relaxed

abc: 3.2563 3.2563 35.5895
angles: 90.00 90.00 120.00
Space group R-3m (No. 166, hexagonal axes)
Unique sites:
1 Ge 0.0000 0.0000 0.0000 (multiplicity 3)
2 Br 0.0000 0.0000 0.5000 (multiplicity 3)
3 Cl 0.0000 0.0000 0.0616 (multiplicity 6)

energy = -2.3951 eV/atom